KIn2BiF6 | PBE | relaxed

## Properties
* total DFT energy (no corrections): -4.382 eV per atom
* uncorrected formation energy: -2.21 eV/atom
* size of the total moment: 0.0 μB/f.u.
* crystal system: trigonal

Cell lengths 6.9690, 6.9697, 6.5759 Å; angles 89.98, 122.01, 120.01 degrees
Sites, in units of the cell vectors:
K: 0.0357 0.5174 0.5392
In: 0.5752 0.7873 0.3488
In: 0.5689 0.2839 0.8387
Bi: 0.0222 0.0105 0.0186
F: 0.5567 0.7959 0.7095
F: 0.4762 0.2168 0.1430
F: 0.8994 0.6812 0.1433
F: 0.9406 0.2583 0.1432
F: 0.9272 0.7598 0.7091
F: 0.9634 0.1665 0.7091